# 1
## ScPaCdSn (PBE-GGA)

Data for ScPaCdSn after structural relaxation.

abc: 5.1858 5.1858 5.1858
angles: 60.00 60.00 60.00
Atoms (fractional coordinates):
Sc: 0.0000 0.0000 0.0000
Pa: 0.5000 0.5000 0.5000
Cd: 0.2500 0.2500 0.2500
Sn: 0.7500 0.7500 0.7500

---

# 2
## Pr4TmGa5 (PBE-GGA)

Data for Pr4TmGa5 after structural relaxation.

abc: 3.6726 3.6726 18.5621
angles: 90.00 90.00 90.00
Atoms (fractional coordinates):
Pr: 0.0000 0.0000 0.1025
Pr: 0.0000 0.0000 0.3079
Pr: 0.0000 0.0000 0.6921
Pr: 0.0000 0.0000 0.8975
Tm: 0.0000 0.0000 0.5000
Ga: 0.5000 0.5000 0.0000
Ga: 0.5000 0.5000 0.2053
Ga: 0.5000 0.5000 0.4136
Ga: 0.5000 0.5000 0.5864
Ga: 0.5000 0.5000 0.7947

---

# 3
## DyScInOs (PBE-GGA)

Data for DyScInOs after structural relaxation.

abc: 4.9053 4.9053 4.9053
angles: 60.00 60.00 60.00
Atoms (fractional coordinates):
Dy: 0.0000 0.0000 0.0000
Sc: 0.5000 0.5000 0.5000
In: 0.7500 0.7500 0.7500
Os: 0.2500 0.2500 0.2500

---

# 4
## KCaLa4 (PBE-GGA)

Data for KCaLa4 after structural relaxation.

abc: 7.1419 7.1419 7.1419
angles: 60.00 60.00 60.00
Atoms (fractional coordinates):
K: 0.0000 0.0000 0.0000
Ca: 0.2500 0.2500 0.2500
La: 0.1432 0.6189 0.6189
La: 0.6189 0.1432 0.6189
La: 0.6189 0.6189 0.1432
La: 0.6189 0.6189 0.6189

---

# 5
## ErAgBi2 (PBE-GGA)

Data for ErAgBi2 after structural relaxation.

abc: 4.9448 4.9448 4.2995
angles: 90.00 90.00 90.00
Atoms (fractional coordinates):
Er: 0.0000 0.0000 0.0000
Ag: 0.5000 0.5000 0.0000
Bi: 0.0000 0.5000 0.5000
Bi: 0.5000 0.0000 0.5000

---

# 6
## KTlHg2Pd (PBE-GGA)

Data for KTlHg2Pd after structural relaxation.

abc: 5.4183 5.4183 5.3263
angles: 90.00 90.00 90.00
Atoms (fractional coordinates):
K: 0.0000 0.0000 0.0000
Tl: 0.5000 0.5000 0.0000
Hg: 0.0000 0.5000 0.5000
Hg: 0.5000 0.0000 0.5000
Pd: 0.5000 0.5000 0.5000

---

no.,calculated formation energy (kJ/mol of formula units),total moment (μB per formula unit)
1,-36,1.7
2,-532,0.0
3,-106,0.0
4,192,0.0
5,-129,0.0
6,-90,0.0